No. 1
# Mo2Br PBE-GGA optimized geometry
# Space group: Cmcm, No. 63
# E_form (uncorrected): 839 meV per atom
# Energy above the most stable polymorph in this dataset: 70.2 kJ per mole of atoms
data_Mo2Br
_cell_length_a 7.463
_cell_length_b 7.463
_cell_length_c 4.562
_cell_angle_alpha 90.00
_cell_angle_beta 90.00
_cell_angle_gamma 156.32
_space_group_name_H-M_alt 'P 1'
_space_group_IT_number 1
loop_
_space_group_symop_operation_xyz
'x,y,z'
loop_
_atom_site_label
_atom_site_fract_x
_atom_site_fract_y
_atom_site_fract_z
Mo1 0.958 0.042 0.750
Mo2 0.296 0.704 0.750
Mo3 0.704 0.296 0.250
Mo4 0.042 0.958 0.250
Br1 0.628 0.372 0.750
Br2 0.372 0.628 0.250


No. 2
# NdHoTl PBE-GGA optimized geometry
# Space group: I4mm, No. 107
# Formation energy from the elements: -0.219 eV/atom
# Energy above the most stable polymorph in this dataset: 4.3 kJ per mole of atoms
data_NdHoTl
_cell_length_a 3.658
_cell_length_b 3.658
_cell_length_c 7.315
_cell_angle_alpha 104.48
_cell_angle_beta 104.48
_cell_angle_gamma 90.00
_space_group_name_H-M_alt 'P 1'
_space_group_IT_number 1
loop_
_space_group_symop_operation_xyz
'x,y,z'
loop_
_atom_site_label
_atom_site_fract_x
_atom_site_fract_y
_atom_site_fract_z
Tl1 0.945 0.945 0.889
Nd1 0.608 0.608 0.217
Ho1 0.297 0.297 0.594


No. 3
# Cs2UNbO6 PBE-GGA optimized geometry
# Space group: Fm-3m, No. 225
# E_form (uncorrected): -2497 meV per atom
data_Cs2UNbO6
_cell_length_a 6.069
_cell_length_b 6.069
_cell_length_c 6.070
_cell_angle_alpha 60.00
_cell_angle_beta 60.00
_cell_angle_gamma 89.98
_space_group_name_H-M_alt 'P 1'
_space_group_IT_number 1
loop_
_space_group_symop_operation_xyz
'x,y,z'
loop_
_atom_site_label
_atom_site_fract_x
_atom_site_fract_y
_atom_site_fract_z
Cs1 0.750 0.250 0.500
Cs2 0.250 0.750 0.500
U1 0.000 0.000 0.000
Nb1 0.500 0.500 0.000
O1 0.259 0.259 0.482
O2 0.741 0.741 0.000
O3 0.259 0.741 0.000
O4 0.741 0.259 0.000
O5 0.259 0.259 0.000
O6 0.741 0.741 0.518


Repeat the first record exactly.
# Mo2Br PBE-GGA optimized geometry
# Space group: Cmcm, No. 63
# E_form (uncorrected): 839 meV per atom
# Energy above the most stable polymorph in this dataset: 70.2 kJ per mole of atoms
data_Mo2Br
_cell_length_a 7.463
_cell_length_b 7.463
_cell_length_c 4.562
_cell_angle_alpha 90.00
_cell_angle_beta 90.00
_cell_angle_gamma 156.32
_space_group_name_H-M_alt 'P 1'
_space_group_IT_number 1
loop_
_space_group_symop_operation_xyz
'x,y,z'
loop_
_atom_site_label
_atom_site_fract_x
_atom_site_fract_y
_atom_site_fract_z
Mo1 0.958 0.042 0.750
Mo2 0.296 0.704 0.750
Mo3 0.704 0.296 0.250
Mo4 0.042 0.958 0.250
Br1 0.628 0.372 0.750
Br2 0.372 0.628 0.250